This record from Alexandria describes crystalline Ho6Bi3Ir at its relaxed geometry. The functional is PBE.

## Properties
Crystal system: monoclinic
Energy relative to the elements in eV per atom: -0.632
E in eV/atom: -5.430

abc: 6.499 8.451 12.596
angles: 90.00 119.90 90.00
Space group P2_1/c (No. 14)
Inequivalent atoms, fractional coordinates:
Ho 0.059 0.200 0.440 (multiplicity 4)
Ho 0.296 0.657 0.436 (multiplicity 4)
Ho 0.370 0.039 0.228 (multiplicity 4)
Bi 0.155 0.117 0.738 (multiplicity 4)
Bi 0.500 0.000 0.500 (multiplicity 2)
Ir 0.000 0.000 0.000 (multiplicity 2)